Run 1
Density functional theory data (GGA-PBE) for crystalline TmScN at its relaxed geometry.

Lattice parameters (Å, degrees): 3.3407 3.3407 5.6146 90.00 90.00 120.00
Space group P3m1 (No. 156)
Symmetry-distinct sites (fractional):
Tm1 0.0000 0.0000 0.0000 [1 per cell]
Sc1 0.3333 0.6667 0.4519 [1 per cell]
N1 0.6667 0.3333 0.2433 [1 per cell]

Values from the calculation:
**Magnetization**: 0.0 μB per cell
**Density of states at the Fermi level**: 3.44 states/eV per cell

=====

Run 2
Density functional theory data (GGA-PBE) for crystalline TmScN at its relaxed geometry.

Lattice parameters (Å, degrees): 3.5894 12.0958 5.5150 90.00 90.00 90.00
Space group Cmc2_1 (No. 36)
Symmetry-distinct sites (fractional):
Tm1 0.0000 0.1898 0.0000 [4 per cell]
Sc1 0.0000 0.4595 0.0122 [4 per cell]
N1 0.0000 0.3389 0.2651 [4 per cell]

Values from the calculation:
**Magnetization**: 0.0 μB per cell
**Density of states at the Fermi level**: 6.30 states/eV per cell

=====

List of relative energies, unit meV/atom: run 1 0; run 2 185

=====

Run 1
Density functional theory data (GGA-PBE) for crystalline Sc3UN4 at its relaxed geometry.

Lattice parameters (Å, degrees): 4.6305 7.5303 6.6809 90.00 90.00 90.00
Space group Pmmn (No. 59, origin choice 2)
Symmetry-distinct sites (fractional):
Sc1 0.2500 0.0046 0.1589 [4 per cell]
Sc2 0.2500 0.7500 0.6854 [2 per cell]
U1 0.2500 0.2500 0.6531 [2 per cell]
N1 0.2500 0.0036 0.8375 [4 per cell]
N2 0.2500 0.2500 0.3165 [2 per cell]
N3 0.2500 0.7500 0.3444 [2 per cell]

Values from the calculation:
**Magnetization**: 4.6 μB per cell
**Density of states at the Fermi level**: 12.30 states/eV per cell

=====

Run 2
Density functional theory data (GGA-PBE) for crystalline Sc3UN4 at its relaxed geometry.

Lattice parameters (Å, degrees): 6.5734 9.1844 3.2695 90.00 90.00 90.00
Space group Cmmm (No. 65)
Symmetry-distinct sites (fractional):
Sc1 0.0000 0.0000 0.0000 [2 per cell]
Sc2 0.2500 0.2500 0.5000 [4 per cell]
U1 0.0000 0.5000 0.0000 [2 per cell]
N1 0.0000 0.2544 0.0000 [4 per cell]
N2 0.2440 0.0000 0.5000 [4 per cell]

Values from the calculation:
**Magnetization**: 2.4 μB per cell
**Density of states at the Fermi level**: 9.67 states/eV per cell

=====

List of relative energies, unit meV/atom: run 1 166; run 2 0

=====

Run 1
Density functional theory data (GGA-PBE) for crystalline ScUN at its relaxed geometry.

Lattice parameters (Å, degrees): 3.2561 3.2561 31.1259 90.00 90.00 120.00
Space group R-3m (No. 166, hexagonal axes)
Symmetry-distinct sites (fractional):
Sc1 0.0000 0.0000 0.1182 [6 per cell]
U1 0.0000 0.0000 0.3020 [6 per cell]
N1 0.0000 0.0000 0.4154 [6 per cell]

Values from the calculation:
**Magnetization**: 0.0 μB per cell
**Density of states at the Fermi level**: 15.35 states/eV per cell

=====

Run 2
Density functional theory data (GGA-PBE) for crystalline ScUN at its relaxed geometry.

Lattice parameters (Å, degrees): 4.2156 4.2156 7.2517 90.00 90.00 90.00
Space group I4mm (No. 107)
Symmetry-distinct sites (fractional):
Sc1 0.0000 0.0000 0.0000 [2 per cell]
U1 0.0000 0.0000 0.4450 [2 per cell]
N1 0.0000 0.0000 0.7230 [2 per cell]

Values from the calculation:
**Magnetization**: 6.6 μB per cell
**Density of states at the Fermi level**: 12.66 states/eV per cell

=====

List of relative energies, unit meV/atom: run 1 0; run 2 1382

=====

Run 1
Density functional theory data (GGA-PBE) for crystalline ScVN at its relaxed geometry.

Lattice parameters (Å, degrees): 3.2147 3.2147 7.7029 90.00 90.00 90.00
Space group P4/nmm (No. 129, origin choice 2)
Symmetry-distinct sites (fractional):
Sc1 0.2500 0.2500 0.1800 [2 per cell]
V1 0.2500 0.7500 0.5000 [2 per cell]
N1 0.2500 0.2500 0.6857 [2 per cell]

Values from the calculation:
**Magnetization**: 0.0 μB per cell
**Density of states at the Fermi level**: 4.57 states/eV per cell

=====

Run 2
Density functional theory data (GGA-PBE) for crystalline ScVN at its relaxed geometry.

Lattice parameters (Å, degrees): 3.8072 3.8072 7.1869 90.00 90.00 90.00
Space group I4mm (No. 107)
Symmetry-distinct sites (fractional):
Sc1 0.0000 0.0000 0.0000 [2 per cell]
V1 0.0000 0.0000 0.4711 [2 per cell]
N1 0.0000 0.0000 0.7086 [2 per cell]

Values from the calculation:
**Magnetization**: 1.5 μB per cell
**Density of states at the Fermi level**: 5.01 states/eV per cell

=====

List of relative energies, unit meV/atom: run 1 0; run 2 1009

=====

Run 1
Density functional theory data (GGA-PBE) for crystalline Sc2V2N at its relaxed geometry.

Lattice parameters (Å, degrees): 5.4744 5.4744 5.1028 90.00 90.00 90.00
Space group P4/mbm (No. 127)
Symmetry-distinct sites (fractional):
Sc1 0.1654 0.3346 0.0000 [4 per cell]
V1 0.1756 0.6756 0.5000 [4 per cell]
N1 0.0000 0.0000 0.5000 [2 per cell]

Values from the calculation:
**Magnetization**: 0.0 μB per cell
**Density of states at the Fermi level**: 10.70 states/eV per cell

=====

Run 2
Density functional theory data (GGA-PBE) for crystalline Sc2V2N at its relaxed geometry.

Lattice parameters (Å, degrees): 3.5312 3.5312 14.0317 90.00 90.00 90.00
Space group I4/mmm (No. 139)
Symmetry-distinct sites (fractional):
Sc1 0.0000 0.5000 0.2500 [4 per cell]
V1 0.0000 0.0000 0.0659 [4 per cell]
N1 0.0000 0.0000 0.5000 [2 per cell]

Values from the calculation:
**Magnetization**: 0.0 μB per cell
**Density of states at the Fermi level**: 12.60 states/eV per cell

=====

List of relative energies, unit meV/atom: run 1 0; run 2 1527

=====

Run 1
Density functional theory data (GGA-PBE) for crystalline Sc3WN at its relaxed geometry.

Lattice parameters (Å, degrees): 4.9775 4.9775 4.9775 90.00 90.00 90.00
Space group Pm-3m (No. 221)
Symmetry-distinct sites (fractional):
Sc1 0.0000 0.0000 0.5000 [3 per cell]
W1 0.0000 0.0000 0.0000 [1 per cell]
N1 0.5000 0.5000 0.5000 [1 per cell]

Values from the calculation:
**Magnetization**: 0.0 μB per cell
**Density of states at the Fermi level**: 4.14 states/eV per cell

=====

Run 2
Density functional theory data (GGA-PBE) for crystalline Sc3WN at its relaxed geometry.

Lattice parameters (Å, degrees): 4.3946 4.3946 4.3946 90.00 90.00 90.00
Space group Pm-3m (No. 221)
Symmetry-distinct sites (fractional):
Sc1 0.0000 0.0000 0.5000 [3 per cell]
W1 0.5000 0.5000 0.5000 [1 per cell]
N1 0.0000 0.0000 0.0000 [1 per cell]

Values from the calculation:
**Magnetization**: 0.0 μB per cell
**Density of states at the Fermi level**: 6.68 states/eV per cell

=====

List of relative energies, unit meV/atom: run 1 1954; run 2 0

=====

Run 1
Density functional theory data (GGA-PBE) for crystalline YScN at its relaxed geometry.

Lattice parameters (Å, degrees): 3.3782 3.3782 5.7129 90.00 90.00 120.00
Space group P3m1 (No. 156)
Symmetry-distinct sites (fractional):
Y1 0.0000 0.0000 0.0000 [1 per cell]
Sc1 0.3333 0.6667 0.5521 [1 per cell]
N1 0.6667 0.3333 0.7476 [1 per cell]

Values from the calculation:
**Magnetization**: 0.2 μB per cell
**Density of states at the Fermi level**: 3.63 states/eV per cell

=====

Run 2
Density functional theory data (GGA-PBE) for crystalline YScN at its relaxed geometry.

Lattice parameters (Å, degrees): 3.3344 5.9430 11.9176 90.00 90.00 90.00
Space group Fmm2 (No. 42)
Symmetry-distinct sites (fractional):
Y1 0.0000 0.0000 0.0000 [4 per cell]
Sc1 0.0000 0.0000 0.7488 [4 per cell]
N1 0.0000 0.0000 0.3614 [4 per cell]

Values from the calculation:
**Magnetization**: 0.0 μB per cell
**Density of states at the Fermi level**: 10.27 states/eV per cell

=====

List of relative energies, unit meV/atom: run 1 0; run 2 382

=====

Run 1
Density functional theory data (GGA-PBE) for crystalline YSc3N at its relaxed geometry.

Lattice parameters (Å, degrees): 5.1063 5.1063 5.1063 90.00 90.00 90.00
Space group Pm-3m (No. 221)
Symmetry-distinct sites (fractional):
Y1 0.0000 0.0000 0.0000 [1 per cell]
Sc1 0.0000 0.0000 0.5000 [3 per cell]
N1 0.5000 0.5000 0.5000 [1 per cell]

Values from the calculation:
**Magnetization**: 0.0 μB per cell
**Density of states at the Fermi level**: 4.56 states/eV per cell

=====

Run 2
Density functional theory data (GGA-PBE) for crystalline YSc3N at its relaxed geometry.

Lattice parameters (Å, degrees): 4.6495 4.6495 4.6495 90.00 90.00 90.00
Space group Pm-3m (No. 221)
Symmetry-distinct sites (fractional):
Y1 0.0000 0.0000 0.0000 [1 per cell]
Sc1 0.0000 0.5000 0.5000 [3 per cell]
N1 0.5000 0.5000 0.5000 [1 per cell]

Values from the calculation:
**Magnetization**: 1.2 μB per cell
**Density of states at the Fermi level**: 9.44 states/eV per cell

=====

List of relative energies, unit meV/atom: run 1 2565; run 2 0

=====

Run 1
Density functional theory data (GGA-PBE) for crystalline ScZn3N at its relaxed geometry.

Lattice parameters (Å, degrees): 4.2761 4.2761 4.2761 90.00 90.00 90.00
Space group Pm-3m (No. 221)
Symmetry-distinct sites (fractional):
Sc1 0.0000 0.0000 0.0000 [1 per cell]
Zn1 0.0000 0.5000 0.5000 [3 per cell]
N1 0.5000 0.5000 0.5000 [1 per cell]

Values from the calculation:
**Magnetization**: 0.0 μB per cell
**Density of states at the Fermi level**: 3.26 states/eV per cell

=====

Run 2
Density functional theory data (GGA-PBE) for crystalline ScZn3N at its relaxed geometry.

Lattice parameters (Å, degrees): 5.2418 5.2418 5.2418 90.00 90.00 90.00
Space group Pm-3m (No. 221)
Symmetry-distinct sites (fractional):
Sc1 0.0000 0.0000 0.0000 [1 per cell]
Zn1 0.0000 0.0000 0.5000 [3 per cell]
N1 0.5000 0.5000 0.5000 [1 per cell]

Values from the calculation:
**Magnetization**: 0.0 μB per cell
**Density of states at the Fermi level**: 11.60 states/eV per cell

=====

List of relative energies, unit meV/atom: run 1 0; run 2 1561

=====

Run 1
Density functional theory data (GGA-PBE) for crystalline ZrSc3N at its relaxed geometry.

Lattice parameters (Å, degrees): 5.0298 5.0298 5.0298 90.00 90.00 90.00
Space group Pm-3m (No. 221)
Symmetry-distinct sites (fractional):
Zr1 0.0000 0.0000 0.0000 [1 per cell]
Sc1 0.0000 0.0000 0.5000 [3 per cell]
N1 0.5000 0.5000 0.5000 [1 per cell]

Values from the calculation:
**Magnetization**: 0.0 μB per cell
**Density of states at the Fermi level**: 3.53 states/eV per cell

=====

Run 2
Density functional theory data (GGA-PBE) for crystalline ZrSc3N at its relaxed geometry.

Lattice parameters (Å, degrees): 4.5574 4.5574 4.5574 90.00 90.00 90.00
Space group Pm-3m (No. 221)
Symmetry-distinct sites (fractional):
Zr1 0.0000 0.0000 0.0000 [1 per cell]
Sc1 0.0000 0.5000 0.5000 [3 per cell]
N1 0.5000 0.5000 0.5000 [1 per cell]

Values from the calculation:
**Magnetization**: 2.9 μB per cell
**Density of states at the Fermi level**: 5.62 states/eV per cell

=====

List of relative energies, unit meV/atom: run 1 2306; run 2 0

=====

Run 1
Density functional theory data (GGA-PBE) for crystalline ZrScN at its relaxed geometry.

Lattice parameters (Å, degrees): 5.6593 5.2457 6.4194 90.00 90.77 90.00
Space group P2_1/c (No. 14)
Symmetry-distinct sites (fractional):
Zr1 0.0805 0.2492 0.3795 [4 per cell]
Sc1 0.4111 0.7302 0.8684 [4 per cell]
N1 0.2551 0.5029 0.1249 [4 per cell]

Values from the calculation:
**Magnetization**: 0.0 μB per cell
**Density of states at the Fermi level**: 9.13 states/eV per cell

=====

Run 2
Density functional theory data (GGA-PBE) for crystalline ZrScN at its relaxed geometry.

Lattice parameters (Å, degrees): 3.2030 3.2030 10.8407 90.00 90.00 120.00
Space group P-6m2 (No. 187)
Symmetry-distinct sites (fractional):
Zr1 0.0000 0.0000 0.0000 [1 per cell]
Zr2 0.0000 0.0000 0.5000 [1 per cell]
Sc1 0.6667 0.3333 0.2388 [2 per cell]
N1 0.3333 0.6667 0.1314 [2 per cell]

Values from the calculation:
**Magnetization**: 0.0 μB per cell
**Density of states at the Fermi level**: 1.24 states/eV per cell

=====

List of relative energies, unit meV/atom: run 1 64; run 2 0

=====

Run 1
Density functional theory data (GGA-PBE) for crystalline ZrScN at its relaxed geometry.

Lattice parameters (Å, degrees): 3.1249 5.6744 10.8985 90.00 90.00 90.00
Space group Immm (No. 71)
Symmetry-distinct sites (fractional):
Zr1 0.0000 0.0000 0.2367 [4 per cell]
Sc1 0.0000 0.2344 0.5000 [4 per cell]
N1 0.0000 0.5000 0.1238 [4 per cell]

Values from the calculation:
**Magnetization**: 0.0 μB per cell
**Density of states at the Fermi level**: 9.34 states/eV per cell

=====

Run 2
Density functional theory data (GGA-PBE) for crystalline ZrScN at its relaxed geometry.

Lattice parameters (Å, degrees): 3.2573 3.2573 5.3631 90.00 90.00 120.00
Space group P3m1 (No. 156)
Symmetry-distinct sites (fractional):
Zr1 0.0000 0.0000 0.0000 [1 per cell]
Sc1 0.6667 0.3333 0.4628 [1 per cell]
N1 0.3333 0.6667 0.2390 [1 per cell]

Values from the calculation:
**Magnetization**: 0.0 μB per cell
**Density of states at the Fermi level**: 1.92 states/eV per cell

=====

List of relative energies, unit meV/atom: run 1 476; run 2 0

=====

Run 1
Density functional theory data (GGA-PBE) for crystalline Se2N at its relaxed geometry.

Lattice parameters (Å, degrees): 4.2051 6.4541 7.8419 87.31 74.48 89.86
Space group P-1 (No. 2)
Symmetry-distinct sites (fractional):
Se1 0.1488 0.0038 0.2022 [2 per cell]
Se2 0.2465 0.7634 0.0084 [2 per cell]
N1 0.4474 0.5504 0.5562 [2 per cell]

Values from the calculation:
**Magnetization**: 0.0 μB per cell

=====

Run 2
Density functional theory data (GGA-PBE) for crystalline Se2N at its relaxed geometry.

Lattice parameters (Å, degrees): 7.7542 2.8894 5.2907 90.00 102.88 90.00
Space group Cm (No. 8)
Symmetry-distinct sites (fractional):
Se1 0.0000 0.0000 0.0000 [2 per cell]
Se2 0.1574 0.5000 0.5571 [2 per cell]
N1 0.4698 0.0000 0.2374 [2 per cell]

Values from the calculation:
**Magnetization**: 0.0 μB per cell
**Density of states at the Fermi level**: 3.23 states/eV per cell

=====

Run 3
Density functional theory data (GGA-PBE) for crystalline Se2N at its relaxed geometry.

Lattice parameters (Å, degrees): 5.7536 7.3308 5.9569 90.00 90.00 90.00
Space group Fmm2 (No. 42)
Symmetry-distinct sites (fractional):
Se1 0.0000 0.2165 0.0000 [8 per cell]
N1 0.0000 0.0000 0.8572 [4 per cell]

Values from the calculation:
**Magnetization**: 0.0 μB per cell
**Density of states at the Fermi level**: 4.23 states/eV per cell

=====

Run 4
Density functional theory data (GGA-PBE) for crystalline Se2N at its relaxed geometry.

Lattice parameters (Å, degrees): 5.1519 5.8325 8.3137 69.63 86.90 89.96
Space group P1 (No. 1)
Symmetry-distinct sites (fractional):
Se1 0.0000 0.0000 0.0000 [1 per cell]
Se2 0.1591 0.6615 0.6747 [1 per cell]
Se3 0.3215 0.8051 0.8830 [1 per cell]
Se4 0.8377 0.3507 0.7918 [1 per cell]
N1 0.5746 0.1703 0.3401 [1 per cell]
N2 0.5889 0.3629 0.3358 [1 per cell]

Values from the calculation:
**Magnetization**: 0.0 μB per cell
**Density of states at the Fermi level**: 0.00 states/eV per cell

=====

List of relative energies, unit meV/atom: run 1 24; run 2 801; run 3 765; run 4 0